Compound: BeAs3Cl
Source: Alexandria
Functional: PBE
Structure: relaxed

Structure (extended XYZ):
```
5
Lattice="4.8440 0.0000 0.0000 0.0000 4.8440 0.0000 0.0000 0.0000 4.8440" Properties=species:S:1:pos:R:3 pbc="T T T"
Be 0.0000 0.0000 0.0000
As 0.0000 2.4220 2.4220
As 2.4220 0.0000 2.4220
As 2.4220 2.4220 0.0000
Cl 2.4220 2.4220 2.4220
```

Computed properties:
The symmetry is No. 221. The calculation puts the energy relative to the elements, uncorrected at 1.47 eV/atom. The total energy comes out at -2.433 eV per atom. The total magnetic moment is 0.00 Bohr magnetons per cell.

Compound: Ca4Bi2N
Source: Alexandria
Functional: PBE
Structure: relaxed

Structure (extended XYZ):
```
14
Lattice="4.9740 0.0000 0.0000 0.0000 15.6401 0.0000 0.0000 0.0000 4.7985" Properties=species:S:1:pos:R:3 pbc="T T T"
Ca 0.0000 0.0000 0.0000
Ca 0.0000 2.4335 2.3992
Ca 0.0000 7.8201 2.3992
Ca 0.0000 13.2066 2.3992
Ca 2.4870 0.0000 2.3992
Ca 2.4870 5.3866 2.3992
Ca 2.4870 7.8201 0.0000
Ca 2.4870 10.2536 2.3992
Bi 0.0000 5.4359 0.0000
Bi 0.0000 10.2043 0.0000
Bi 2.4870 2.3842 0.0000
Bi 2.4870 13.2559 0.0000
N 0.0000 0.0000 2.3992
N 2.4870 7.8201 2.3992
```

Computed properties:
The symmetry is No. 65. The calculation puts the energy relative to the elements, uncorrected at -0.87 eV/atom. The total energy comes out at -4.313 eV per atom. The total magnetic moment is 0.00 Bohr magnetons per cell.

Compound: Ca2BRuCl
Source: Alexandria
Functional: PBE
Structure: relaxed

Structure (extended XYZ):
```
5
Lattice="5.1840 0.0000 0.0000 0.0000 5.1840 0.0000 0.0000 0.0000 4.3239" Properties=species:S:1:pos:R:3 pbc="T T T"
Ca 0.0000 2.5920 0.0000
Ca 2.5920 0.0000 0.0000
B 0.0000 0.0000 2.1620
Ru 2.5920 2.5920 2.1620
Cl 2.5920 2.5920 0.0000
```

Computed properties:
The symmetry is No. 123. The calculation puts the energy relative to the elements, uncorrected at 0.59 eV/atom. The total energy comes out at -3.772 eV per atom. The total magnetic moment is 0.37 Bohr magnetons per cell.

Compound: CaMg3Rh
Source: Alexandria
Functional: PBE
Structure: relaxed

Structure (extended XYZ):
```
5
Lattice="5.0105 0.0000 0.0000 0.0000 5.0105 0.0000 0.0000 0.0000 5.0105" Properties=species:S:1:pos:R:3 pbc="T T T"
Ca 0.0000 0.0000 0.0000
Mg 0.0000 2.5053 2.5053
Mg 2.5053 0.0000 2.5053
Mg 2.5053 2.5053 0.0000
Rh 2.5053 2.5053 2.5053
```

Computed properties:
The formation energy comes out at -0.221 eV/atom. The symmetry is No. 221. The total energy comes out at -3.048 eV per atom. The total magnetic moment is 0.00 Bohr magnetons per cell.

Compound: Zn2Ag5Hg
Source: Alexandria
Functional: PBE
Structure: relaxed

Structure (extended XYZ):
```
16
Lattice="2.9592 0.0000 0.0000 0.0000 8.7433 0.0000 0.0000 0.0000 11.0194" Properties=species:S:1:pos:R:3 pbc="T T T"
Zn 0.0000 0.0000 2.6980
Zn 0.0000 0.0000 8.3213
Zn 1.4796 4.3717 2.8116
Zn 1.4796 4.3717 8.2077
Ag 0.0000 0.0000 0.0000
Ag 0.0000 2.3248 4.0357
Ag 0.0000 2.3248 6.9837
Ag 0.0000 6.4186 4.0357
Ag 0.0000 6.4186 6.9837
Ag 1.4796 2.0469 1.4740
Ag 1.4796 2.0469 9.5454
Ag 1.4796 4.3717 5.5097
Ag 1.4796 6.6964 1.4740
Ag 1.4796 6.6964 9.5454
Hg 0.0000 4.3717 0.0000
Hg 1.4796 0.0000 5.5097
```

Computed properties:
The formation energy comes out at 0.021 eV/atom. The symmetry is No. 71. The total energy comes out at -2.118 eV per atom. The total magnetic moment is 0.00 Bohr magnetons per cell.

Compound: Co3BiBr
Source: Alexandria
Functional: PBE
Structure: relaxed

Structure (extended XYZ):
```
5
Lattice="4.4343 0.0000 0.0000 0.0000 4.4343 0.0000 0.0000 0.0000 4.4343" Properties=species:S:1:pos:R:3 pbc="T T T"
Co 0.0000 0.0000 2.2171
Co 0.0000 2.2171 0.0000
Co 2.2171 0.0000 0.0000
Bi 2.2171 2.2171 2.2171
Br 0.0000 0.0000 0.0000
```

Computed properties:
The symmetry is No. 221. The calculation puts the energy relative to the elements, uncorrected at 1.00 eV/atom. The total energy comes out at -4.370 eV per atom. The total magnetic moment is 1.04 Bohr magnetons per cell.